1.
VASP calculation (PBE) on Sm2InBPt6 after structural relaxation.

```
data_Sm2InBPt6
_cell_length_a 5.750
_cell_length_b 8.748
_cell_length_c 7.668
_cell_angle_alpha 90.00
_cell_angle_beta 90.00
_cell_angle_gamma 90.00
_symmetry_space_group_name_H-M 'P m m n'
_symmetry_Int_Tables_number 59
loop_
_symmetry_equiv_pos_as_xyz
'x,y,z'
'-x,-y,-z'
'-x+1/2,-y+1/2,z'
'x+1/2,y+1/2,-z'
'x+1/2,-y,-z'
'-x+1/2,y,z'
'-x,y+1/2,-z'
'x,-y+1/2,z'
loop_
_atom_site_label
_atom_site_fract_x
_atom_site_fract_y
_atom_site_fract_z
Sm1 0.250 0.028 0.223
In1 0.250 0.750 0.831
B1 0.250 0.250 0.680
Pt1 0.007 0.250 0.885
Pt2 0.011 0.750 0.515
Pt3 0.250 0.008 0.633
```

Calculated values
ΔE_f: -0.818 eV/atom
crystal system: orthorhombic



2.
VASP calculation (PBE) on Pu2InB2Rh5 after structural relaxation.

```
data_Pu2InB2Rh5
_cell_length_a 9.793
_cell_length_b 9.793
_cell_length_c 3.201
_cell_angle_alpha 90.00
_cell_angle_beta 90.00
_cell_angle_gamma 90.00
_symmetry_space_group_name_H-M 'P 4/m b m'
_symmetry_Int_Tables_number 127
_symmetry_space_group_name_Hall '-P 4 2ab'
loop_
_atom_site_label
_atom_site_fract_x
_atom_site_fract_y
_atom_site_fract_z
Pu1 0.177 0.323 0.000
In1 0.000 0.000 0.000
B1 0.120 0.620 0.000
Rh1 0.000 0.500 0.500
Rh2 0.070 0.771 0.500
```

Calculated values
ΔE_f: -0.542 eV/atom
crystal system: tetragonal



3.
VASP calculation (PBE) on RbIn3B after structural relaxation.

```
data_RbIn3B
_cell_length_a 5.160
_cell_length_b 5.160
_cell_length_c 5.160
_cell_angle_alpha 90.00
_cell_angle_beta 90.00
_cell_angle_gamma 90.00
_symmetry_space_group_name_H-M 'P m -3 m'
_symmetry_Int_Tables_number 221
_symmetry_space_group_name_Hall '-P 4 2 3'
loop_
_atom_site_label
_atom_site_fract_x
_atom_site_fract_y
_atom_site_fract_z
Rb1 0.000 0.000 0.000
In1 0.000 0.500 0.500
B1 0.500 0.500 0.500
```

Calculated values
distance to the lowest polymorph of the same formula: 0.0000 eV/atom
ΔE_f: 0.546 eV/atom
crystal system: cubic



4.
VASP calculation (PBE) on RbIn3B after structural relaxation.

```
data_RbIn3B
_cell_length_a 6.427
_cell_length_b 6.427
_cell_length_c 6.427
_cell_angle_alpha 90.00
_cell_angle_beta 90.00
_cell_angle_gamma 90.00
_symmetry_space_group_name_H-M 'P m -3 m'
_symmetry_Int_Tables_number 221
_symmetry_space_group_name_Hall '-P 4 2 3'
loop_
_atom_site_label
_atom_site_fract_x
_atom_site_fract_y
_atom_site_fract_z
Rb1 0.000 0.000 0.000
In1 0.000 0.000 0.500
B1 0.500 0.500 0.500
```

Calculated values
distance to the lowest polymorph of the same formula: 1.3798 eV/atom
ΔE_f: 1.926 eV/atom
crystal system: cubic



5.
VASP calculation (PBE) on RbIn2B after structural relaxation.

```
data_RbIn2B
_cell_length_a 7.334
_cell_length_b 7.334
_cell_length_c 10.235
_cell_angle_alpha 90.00
_cell_angle_beta 90.00
_cell_angle_gamma 90.00
_symmetry_space_group_name_H-M 'I 41/a m d'
_symmetry_Int_Tables_number 141
loop_
_symmetry_equiv_pos_as_xyz
'x,y,z'
'-x,-y,-z'
'-y+1/4,x+3/4,z+1/4'
'y+1/4,-x+3/4,-z+1/4'
'-x+1/2,-y,z+1/2'
'x+1/2,y,-z+1/2'
'y+1/4,-x+1/4,z+3/4'
'-y+1/4,x+1/4,-z+3/4'
'x,-y,-z'
'-x,y,z'
'-y+1/4,-x+1/4,-z+3/4'
'y+1/4,x+1/4,z+3/4'
'-x+1/2,y,-z+1/2'
'x+1/2,-y,z+1/2'
'y+1/4,x+3/4,-z+1/4'
'-y+1/4,-x+3/4,z+1/4'
'x+1/2,y+1/2,z+1/2'
'-x+1/2,-y+1/2,-z+1/2'
'-y+3/4,x+1/4,z+3/4'
'y+3/4,-x+1/4,-z+3/4'
'-x,-y+1/2,z'
'x,y+1/2,-z'
'y+3/4,-x+3/4,z+1/4'
'-y+3/4,x+3/4,-z+1/4'
'x+1/2,-y+1/2,-z+1/2'
'-x+1/2,y+1/2,z+1/2'
'-y+3/4,-x+3/4,-z+1/4'
'y+3/4,x+3/4,z+1/4'
'-x,y+1/2,-z'
'x,-y+1/2,z'
'y+3/4,x+1/4,-z+3/4'
'-y+3/4,-x+1/4,z+3/4'
loop_
_atom_site_label
_atom_site_fract_x
_atom_site_fract_y
_atom_site_fract_z
Rb1 0.000 0.250 0.375
In1 0.000 0.000 0.000
B1 0.000 0.250 0.875
```

Calculated values
ΔE_f: 0.510 eV/atom
crystal system: tetragonal



6.
VASP calculation (PBE) on RbIn2BRu after structural relaxation.

```
data_RbIn2BRu
_cell_length_a 5.939
_cell_length_b 5.939
_cell_length_c 4.780
_cell_angle_alpha 90.00
_cell_angle_beta 90.00
_cell_angle_gamma 90.00
_symmetry_space_group_name_H-M 'P 4/m m m'
_symmetry_Int_Tables_number 123
_symmetry_space_group_name_Hall '-P 4 2'
loop_
_atom_site_label
_atom_site_fract_x
_atom_site_fract_y
_atom_site_fract_z
Rb1 0.000 0.000 0.000
In1 0.000 0.500 0.000
B1 0.000 0.000 0.500
Ru1 0.500 0.500 0.500
```

Calculated values
ΔE_f: 2.522 eV/atom
crystal system: tetragonal



7.
VASP calculation (PBE) on Rb2InBS4 after structural relaxation.

```
data_Rb2InBS4
_cell_length_a 5.946
_cell_length_b 13.562
_cell_length_c 24.112
_cell_angle_alpha 90.00
_cell_angle_beta 90.00
_cell_angle_gamma 90.00
_symmetry_space_group_name_H-M 'F d d d'
_symmetry_Int_Tables_number 70
loop_
_symmetry_equiv_pos_as_xyz
'x,y,z'
'-x,-y,-z'
'-x+1/4,-y+1/4,z'
'x+1/4,y+1/4,-z'
'x,-y+1/4,-z+1/4'
'-x,y+1/4,z+1/4'
'-x+1/4,y,-z+1/4'
'x+1/4,-y,z+1/4'
'x,y+1/2,z+1/2'
'-x,-y+1/2,-z+1/2'
'-x+1/4,-y+3/4,z+1/2'
'x+1/4,y+3/4,-z+1/2'
'x,-y+3/4,-z+3/4'
'-x,y+3/4,z+3/4'
'-x+1/4,y+1/2,-z+3/4'
'x+1/4,-y+1/2,z+3/4'
'x+1/2,y,z+1/2'
'-x+1/2,-y,-z+1/2'
'-x+3/4,-y+1/4,z+1/2'
'x+3/4,y+1/4,-z+1/2'
'x+1/2,-y+1/4,-z+3/4'
'-x+1/2,y+1/4,z+3/4'
'-x+3/4,y,-z+3/4'
'x+3/4,-y,z+3/4'
'x+1/2,y+1/2,z'
'-x+1/2,-y+1/2,-z'
'-x+3/4,-y+3/4,z'
'x+3/4,y+3/4,-z'
'x+1/2,-y+3/4,-z+1/4'
'-x+1/2,y+3/4,z+1/4'
'-x+3/4,y+1/2,-z+1/4'
'x+3/4,-y+1/2,z+1/4'
loop_
_atom_site_label
_atom_site_fract_x
_atom_site_fract_y
_atom_site_fract_z
Rb1 0.125 0.125 0.305
In1 0.125 0.125 0.125
B1 0.125 0.125 0.625
S1 0.065 0.290 0.828
```

Calculated values
crystal system: orthorhombic



8.
VASP calculation (PBE) on Rb2InBS after structural relaxation.

```
data_Rb2InBS
_cell_length_a 6.790
_cell_length_b 6.790
_cell_length_c 3.836
_cell_angle_alpha 90.00
_cell_angle_beta 90.00
_cell_angle_gamma 90.00
_symmetry_space_group_name_H-M 'P 4/m m m'
_symmetry_Int_Tables_number 123
_symmetry_space_group_name_Hall '-P 4 2'
loop_
_atom_site_label
_atom_site_fract_x
_atom_site_fract_y
_atom_site_fract_z
Rb1 0.000 0.500 0.000
In1 0.000 0.000 0.500
B1 0.500 0.500 0.500
S1 0.500 0.500 0.000
```

Calculated values
crystal system: tetragonal



9.
VASP calculation (PBE) on RbInBSb2 after structural relaxation.

```
data_RbInBSb2
_cell_length_a 6.172
_cell_length_b 6.172
_cell_length_c 5.280
_cell_angle_alpha 90.00
_cell_angle_beta 90.00
_cell_angle_gamma 90.00
_symmetry_space_group_name_H-M 'P 4/m m m'
_symmetry_Int_Tables_number 123
_symmetry_space_group_name_Hall '-P 4 2'
loop_
_atom_site_label
_atom_site_fract_x
_atom_site_fract_y
_atom_site_fract_z
Rb1 0.000 0.000 0.000
In1 0.500 0.500 0.500
B1 0.000 0.000 0.500
Sb1 0.000 0.500 0.000
```

Calculated values
crystal system: tetragonal



10.
VASP calculation (PBE) on Rb2TaInB after structural relaxation.

```
data_Rb2TaInB
_cell_length_a 6.783
_cell_length_b 6.783
_cell_length_c 4.145
_cell_angle_alpha 90.00
_cell_angle_beta 90.00
_cell_angle_gamma 90.00
_symmetry_space_group_name_H-M 'P 4/m m m'
_symmetry_Int_Tables_number 123
_symmetry_space_group_name_Hall '-P 4 2'
loop_
_atom_site_label
_atom_site_fract_x
_atom_site_fract_y
_atom_site_fract_z
Rb1 0.000 0.500 0.000
Ta1 0.000 0.000 0.500
In1 0.500 0.500 0.500
B1 0.500 0.500 0.000
```

Calculated values
ΔE_f: 1.607 eV/atom
crystal system: tetragonal



11.
VASP calculation (PBE) on RbIn2BW after structural relaxation.

```
data_RbIn2BW
_cell_length_a 5.390
_cell_length_b 5.390
_cell_length_c 6.546
_cell_angle_alpha 90.00
_cell_angle_beta 90.00
_cell_angle_gamma 90.00
_symmetry_space_group_name_H-M 'P 4/m m m'
_symmetry_Int_Tables_number 123
_symmetry_space_group_name_Hall '-P 4 2'
loop_
_atom_site_label
_atom_site_fract_x
_atom_site_fract_y
_atom_site_fract_z
Rb1 0.000 0.000 0.000
In1 0.000 0.500 0.500
B1 0.500 0.500 0.000
W1 0.000 0.000 0.500
```

Calculated values
ΔE_f: 1.907 eV/atom
crystal system: tetragonal



12.
VASP calculation (PBE) on RbZnInB2 after structural relaxation.

```
data_RbZnInB2
_cell_length_a 6.291
_cell_length_b 6.291
_cell_length_c 7.992
_cell_angle_alpha 90.00
_cell_angle_beta 90.00
_cell_angle_gamma 90.00
_symmetry_space_group_name_H-M 'P 4/m m m'
_symmetry_Int_Tables_number 123
_symmetry_space_group_name_Hall '-P 4 2'
loop_
_atom_site_label
_atom_site_fract_x
_atom_site_fract_y
_atom_site_fract_z
Rb1 0.000 0.000 0.000
Zn1 0.500 0.500 0.500
In1 0.000 0.000 0.500
B1 0.000 0.500 0.000
```

Calculated values
ΔE_f: 2.622 eV/atom
crystal system: tetragonal



no.,density of states at the Fermi level (states/eV/cell),electronic total energy (eV per formula unit),magnetic moment (Bohr magnetons per cell)
1,5.90,-63.28,0.00
2,49.32,-86.93,19.40
3,3.70,-13.13,0.00
4,8.12,-6.23,1.26
5,10.71,-11.08,0.00
6,7.08,-9.79,2.22
7,0.00,-34.13,0.00
8,4.42,-13.77,1.43
9,6.38,-9.44,0.19
10,5.03,-15.17,3.62
11,2.80,-16.54,1.85
12,7.14,-5.22,3.78